The following is a PBE-GGA calculation of a relaxed structure of KTe2Br, from Alexandria via LeMat-Bulk.

distance to the lowest polymorph of the same formula: 35.2 meV per atom
total magnetization: 0.00 μB/f.u.
raw formation energy: -0.684 eV per atom
raw total energy: -2.9471 eV/atom
N(E_F): 3.66 states/eV per cell

abc: 8.9959 8.9959 4.3388
angles: 96.46 96.46 28.17
Last column: nearest neighbours and their distance in Å.
Fractional coordinates of all 4 atoms:
K 0.0000 0.0000 0.0000  4 Br 3.08
Te 0.2515 0.2515 0.7523  4 Te 3.07-3.09
Te 0.7485 0.7485 0.2477  4 Te 3.07-3.09
Br 0.5000 0.5000 0.5000  4 K 3.08

The following is a PBE-GGA calculation of a relaxed structure of KTe2Br4, from Alexandria via LeMat-Bulk.

total magnetization: 0.78 μB/f.u.
raw formation energy: -0.622 eV per atom
raw total energy: -2.6327 eV/atom
N(E_F): 4.61 states/eV per cell

abc: 10.7086 9.1895 9.1889
angles: 71.28 54.36 54.36
Last column: nearest neighbours and their distance in Å.
Fractional coordinates of all 14 atoms:
K 0.0000 0.0000 0.0000  8 Br 3.44-3.74
K 0.2500 0.2500 0.2500  8 Br 3.44-3.73
Te 0.1241 0.4701 0.7805  2 Br 2.72, 2 Te 2.96-2.98
Te 0.4701 0.1241 0.6253  2 Br 2.72, 2 Te 2.96-2.98
Te 0.6253 0.7805 0.4701  2 Br 2.72, 2 Te 2.96-2.98
Te 0.7805 0.6253 0.1241  2 Br 2.72, 2 Te 2.96-2.98
Br 0.2980 0.5112 0.8784  1 Te 2.72
Br 0.3124 0.8784 0.5112  1 Te 2.72
Br 0.3709 0.9518 0.9393  1 Te 2.72
Br 0.5112 0.2980 0.3124  1 Te 2.72
Br 0.7379 0.9393 0.9518  1 Te 2.72
Br 0.8784 0.3124 0.2980  1 Te 2.72
Br 0.9393 0.7379 0.3709  1 Te 2.72
Br 0.9518 0.3709 0.7379  1 Te 2.72

The following is a PBE-GGA calculation of a relaxed structure of KTe2Br, from Alexandria via LeMat-Bulk.

distance to the lowest polymorph of the same formula: 218.5 meV per atom
total magnetization: 0.00 μB/f.u.
raw formation energy: -0.500 eV per atom
raw total energy: -2.7638 eV/atom
N(E_F): 2.29 states/eV per cell

abc: 3.2419 7.8649 5.8758
angles: 90.00 90.09 90.00
Last column: nearest neighbours and their distance in Å.
Fractional coordinates of all 4 atoms:
K 0.0000 0.0000 0.0000  2 K 3.24, 4 Br 3.35-3.36
Te 0.4992 0.5000 0.2555  2 Te 2.87-3.00
Te 0.5008 0.5000 0.7445  2 Te 2.87-3.00
Br 0.5000 0.0000 0.5000  2 Br 3.24, 4 K 3.35-3.36

The following is a PBE-GGA calculation of a relaxed structure of KTe2Br, from Alexandria via LeMat-Bulk.

distance to the lowest polymorph of the same formula: 105.2 meV per atom
total magnetization: 0.00 μB/f.u.
raw formation energy: -0.614 eV per atom
raw total energy: -2.8771 eV/atom
N(E_F): 0.35 states/eV per cell

abc: 6.8143 6.8143 6.8143
angles: 143.53 121.22 71.18
Last column: nearest neighbours and their distance in Å.
Fractional coordinates of all 4 atoms:
K 0.0000 0.0000 0.0000  2 Br 3.30, 2 Te 3.56
Te 0.4315 0.4315 0.0000  2 Te 2.90, 2 Br 3.11
Te 0.6090 0.1090 0.5000  2 Te 2.90
Br 0.2276 0.7276 0.5000  2 Te 3.11, 2 K 3.30